# BeAlIn2, relaxed, DFT PBE
# **ρ**: 5.56 g cm⁻³
# **Formation enthalpy at 0 K**: 0.43 eV/atom
# **Energy relative to the lowest polymorph listed for this composition**: 0.1417 eV/atom
data_BeAlIn2
_symmetry_space_group_name_H-M 'P 1'
_symmetry_Int_Tables_number 1
_symmetry_space_group_name_Hall 'P 1'
_cell_length_a 4.133
_cell_length_b 4.734
_cell_length_c 8.108
_cell_angle_alpha 90.00
_cell_angle_beta 90.00
_cell_angle_gamma 90.00
loop_
_atom_site_label
_atom_site_type_symbol
_atom_site_fract_x
_atom_site_fract_y
_atom_site_fract_z
Be1 Be 0.000 0.000 0.000
Be2 Be 0.500 0.500 0.500
Al1 Al 0.000 0.000 0.500
Al2 Al 0.500 0.500 0.000
In1 In 0.000 0.500 0.266
In2 In 0.000 0.500 0.734
In3 In 0.500 0.000 0.234
In4 In 0.500 0.000 0.766

---

# CaCrPd, relaxed, DFT PBE
# **ρ**: 5.24 g cm⁻³
# **Formation enthalpy at 0 K**: 0.09 eV/atom
# **Energy relative to the lowest polymorph listed for this composition**: 0.1762 eV/atom
data_CaCrPd
_symmetry_space_group_name_H-M 'P 1'
_symmetry_Int_Tables_number 1
_symmetry_space_group_name_Hall 'P 1'
_cell_length_a 10.838
_cell_length_b 4.457
_cell_length_c 5.716
_cell_angle_alpha 90.00
_cell_angle_beta 114.31
_cell_angle_gamma 90.00
loop_
_atom_site_label
_atom_site_type_symbol
_atom_site_fract_x
_atom_site_fract_y
_atom_site_fract_z
Ca1 Ca 0.122 0.000 0.295
Ca2 Ca 0.378 0.500 0.705
Ca3 Ca 0.622 0.500 0.295
Ca4 Ca 0.878 0.000 0.705
Cr1 Cr 0.070 0.500 0.656
Cr2 Cr 0.430 0.000 0.344
Cr3 Cr 0.570 0.000 0.656
Cr4 Cr 0.930 0.500 0.344
Pd1 Pd 0.203 0.000 0.850
Pd2 Pd 0.297 0.500 0.150
Pd3 Pd 0.703 0.500 0.850
Pd4 Pd 0.797 0.000 0.150

---

# AlCdNi2, relaxed, DFT PBE
# **ρ**: 7.72 g cm⁻³
# **Formation enthalpy at 0 K**: -0.21 eV/atom
data_AlCdNi2
_symmetry_space_group_name_H-M 'P 1'
_symmetry_Int_Tables_number 1
_symmetry_space_group_name_Hall 'P 1'
_cell_length_a 6.105
_cell_length_b 6.133
_cell_length_c 2.949
_cell_angle_alpha 90.00
_cell_angle_beta 90.00
_cell_angle_gamma 90.00
loop_
_atom_site_label
_atom_site_type_symbol
_atom_site_fract_x
_atom_site_fract_y
_atom_site_fract_z
Al1 Al 0.000 0.000 0.000
Al2 Al 0.500 0.500 0.000
Cd1 Cd 0.000 0.500 0.000
Cd2 Cd 0.500 0.000 0.000
Ni1 Ni 0.250 0.250 0.500
Ni2 Ni 0.250 0.750 0.500
Ni3 Ni 0.750 0.250 0.500
Ni4 Ni 0.750 0.750 0.500

---

# GaSnBiAu, relaxed, DFT PBE
# **ρ**: 10.30 g cm⁻³
# **Formation enthalpy at 0 K**: 0.05 eV/atom
data_GaSnBiAu
_symmetry_space_group_name_H-M 'P 1'
_symmetry_Int_Tables_number 1
_symmetry_space_group_name_Hall 'P 1'
_cell_length_a 7.263
_cell_length_b 7.263
_cell_length_c 7.263
_cell_angle_alpha 90.00
_cell_angle_beta 90.00
_cell_angle_gamma 90.00
loop_
_atom_site_label
_atom_site_type_symbol
_atom_site_fract_x
_atom_site_fract_y
_atom_site_fract_z
Ga1 Ga 0.000 0.000 0.000
Ga2 Ga 0.000 0.500 0.500
Ga3 Ga 0.500 0.000 0.500
Ga4 Ga 0.500 0.500 0.000
Sn1 Sn 0.250 0.250 0.750
Sn2 Sn 0.250 0.750 0.250
Sn3 Sn 0.750 0.250 0.250
Sn4 Sn 0.750 0.750 0.750
Bi1 Bi 0.250 0.250 0.250
Bi2 Bi 0.250 0.750 0.750
Bi3 Bi 0.750 0.250 0.750
Bi4 Bi 0.750 0.750 0.250
Au1 Au 0.000 0.000 0.500
Au2 Au 0.000 0.500 0.000
Au3 Au 0.500 0.000 0.000
Au4 Au 0.500 0.500 0.500